Compound: Sm2PaCu
Source: Alexandria via LeMat-Bulk
Functional: PBE
Structure: optimized geometry

Geometry as POSCAR:
```
Sm2PaCu
1.0
3.2839 0.0000 0.0000
1.6419 2.8439 0.0000
1.6419 0.9480 11.1023
Sm Cu Pa
2 1 1
direct
0.9017 0.9017 0.2948 Sm
0.0983 0.0983 0.7052 Sm
0.5000 0.5000 0.5000 Cu
0.0000 0.0000 0.0000 Pa
```

Properties
DFT formation energy = 0.358 eV per atom
DOS(E_F) = 1.18 states/eV per atom
E = -21.60 eV/cell